Version A
First-principles (PBE) data for an optimized crystal structure of Tb2Gd, as listed in Alexandria via LeMat-Bulk.

Geometry as POSCAR:
```
Tb2Gd
1.0
6.5987 0.0000 0.0000
3.2994 5.7147 0.0000
3.2994 1.9049 5.3878
Gd Tb
2 4
Direct
0.0000 0.0000 0.0000
0.2500 0.2500 0.2500
0.1250 0.6250 0.6250
0.6250 0.1250 0.6250
0.6250 0.6250 0.6250
0.6250 0.6250 0.1250
```

Properties
The crystal system is cubic.



Version B
First-principles (PBE) data for an optimized crystal structure of Tb2Gd, as listed in Alexandria via LeMat-Bulk.

Geometry as POSCAR:
```
Tb2Gd
1.0
-1.5596 -3.1820 -0.4741
1.1801 -0.0757 -3.3740
6.5018 -1.8054 4.2087
Gd Tb
1 2
Direct
0.0000 0.0000 0.0000
0.6678 0.6679 0.3357
0.3322 0.3322 0.6643
```

Properties
The crystal system is tetragonal.



Verdict on stability: version B comes out on top.